Below is crystalline LiFe5O8 at its relaxed geometry, with properties calculated at the GGA+U level.

Lattice parameters (Å, degrees): 8.2626 8.2626 8.2626 90.00 90.00 90.00
Positions (direct):
Li  0.1250  0.1250  0.1250
Li  0.3750  0.8750  0.6250
Li  0.6250  0.3750  0.8750
Li  0.8750  0.6250  0.3750
Fe  0.0013  0.9987  0.4987
Fe  0.1245  0.3750  0.3745
Fe  0.1250  0.6255  0.6245
Fe  0.1255  0.8755  0.8750
Fe  0.2487  0.7513  0.2513
Fe  0.2513  0.2487  0.7513
Fe  0.3745  0.1245  0.3750
Fe  0.3750  0.3745  0.1245
Fe  0.3755  0.6250  0.8745
Fe  0.4987  0.0013  0.9987
Fe  0.5013  0.5013  0.5013
Fe  0.6245  0.1250  0.6255
Fe  0.6250  0.8745  0.3755
Fe  0.6255  0.6245  0.1250
Fe  0.7487  0.7487  0.7487
Fe  0.7513  0.2513  0.2487
Fe  0.8745  0.3755  0.6250
Fe  0.8750  0.1255  0.8755
Fe  0.8755  0.8750  0.1255
Fe  0.9987  0.4987  0.0013
O  0.1106  0.8733  0.1132
O  0.1132  0.1106  0.8733
O  0.1148  0.3852  0.6148
O  0.1233  0.8606  0.6368
O  0.1267  0.6132  0.3894
O  0.1352  0.6352  0.8648
O  0.1368  0.3767  0.1394
O  0.1394  0.1368  0.3767
O  0.3606  0.8632  0.8767
O  0.3632  0.6233  0.6394
O  0.3648  0.3648  0.3648
O  0.3733  0.3868  0.8894
O  0.3767  0.1394  0.1368
O  0.3852  0.6148  0.1148
O  0.3868  0.8894  0.3733
O  0.3894  0.1267  0.6132
O  0.6106  0.6267  0.8868
O  0.6132  0.3894  0.1267
O  0.6148  0.1148  0.3852
O  0.6233  0.6394  0.3632
O  0.6267  0.8868  0.6106
O  0.6352  0.8648  0.1352
O  0.6368  0.1233  0.8606
O  0.6394  0.3632  0.6233
O  0.8606  0.6368  0.1233
O  0.8632  0.8767  0.3606
O  0.8648  0.1352  0.6352
O  0.8733  0.1132  0.1106
O  0.8767  0.3606  0.8632
O  0.8852  0.8852  0.8852
O  0.8868  0.6106  0.6267
O  0.8894  0.3733  0.3868

Values from the calculation:
E_tot, eV/atom: -6.20
ΔE to the lowest computed polymorph, eV per formula unit: 0.00